The following is a PBE calculation of a relaxed PrNdDy2Th crystal, from Alexandria.

The calculation puts the total energy at -25.87 eV/f.u. Its space-group type is P2_1/m, No. 11. The total magnetization is 0.0 μB per formula unit. As for the density: 8279 kg/m³. As for the density of states at the Fermi level: 1.67 states/eV per atom. The formation energy is 0.06 eV per atom.

Unit cell a=5.828 b=6.343 c=9.660 alpha=71.07 beta=90.00 gamma=90.00
Positions (direct):
Pr  0.250  0.753  0.190
Pr  0.750  0.247  0.810
Nd  0.250  0.532  0.606
Nd  0.750  0.468  0.394
Dy  0.750  0.873  0.594
Dy  0.750  0.662  0.994
Dy  0.250  0.127  0.406
Dy  0.250  0.338  0.006
Th  0.250  0.920  0.796
Th  0.750  0.080  0.204